Density functional theory data (GGA+U) for a relaxed MnMoPb2O6 crystal.

The value obtained for the calculated volume is 134 Å³/f.u. The value obtained for the spin magnetization is 10.00 μB/cell. For the energy, the calculation gives -131.5 eV for the cell shown. The calculation puts the mass density at 8.22 Mg/m³.

The space group is P2_1/c (No. 14) and the conventional cell measures 5.706, 5.655 and 10.039 Å, with angles of 90.00, 124.48 and 90.00 degrees. Symmetry generates all atoms from Mn at (0.000, 0.000, 0.000), Mo at (0.500, 0.000, 0.500), Pb at (0.226, 0.000, 0.747), O at (0.201, 0.250, 0.459), O at (0.202, 0.748, 0.458) and O at (0.338, 0.000, 0.273).